1.
A plane-wave DFT calculation with GGA-PBE was carried out for Ti4PdAu2 after structural relaxation.

- SG: I4/mmm
- D(E_F): 10.1 states/eV/f.u.
- Calculated total energy: -5.905 eV per atom
- DFT formation energy: 0.2846 eV per atom

a b c (Å): 7.3918 7.3918 7.3918
angles (deg): 143.02 143.02 53.29
Closest atoms and distances in Å follow each position.
Fractional coordinates of all 7 atoms:
Ti 0.0000 0.5000 0.5000  2 Pd 2.34
Ti 0.1928 0.1928 0.0000  1 Au 2.55, 1 Pd 2.55
Ti 0.5000 0.0000 0.5000  2 Pd 2.34
Ti 0.8072 0.8072 0.0000  1 Au 2.55, 1 Pd 2.55
Pd 0.0000 0.0000 0.0000  6 Ti 2.34-2.55
Au 0.3856 0.3856 0.0000  5 Ti 2.55-2.79
Au 0.6144 0.6144 0.0000  5 Ti 2.55-2.79

***

2.
A plane-wave DFT calculation with GGA-PBE was carried out for CeNd3Hg4 after structural relaxation.

- SG: P4/mmm
- D(E_F): 15.3 states/eV/f.u.
- Calculated total energy: -3.106 eV per atom
- DFT formation energy: -0.4254 eV per atom

a b c (Å): 3.8316 3.8316 15.4111
angles (deg): 90.00 90.00 90.00
Closest atoms and distances in Å follow each position.
Fractional coordinates of all 8 atoms:
Ce 0.0000 0.0000 0.0000  8 Hg 3.33
Nd 0.0000 0.0000 0.2504  8 Hg 3.32
Nd 0.0000 0.0000 0.5000  8 Hg 3.32
Nd 0.0000 0.0000 0.7496  8 Hg 3.32
Hg 0.5000 0.5000 0.1254  4 Nd 3.32, 4 Ce 3.33
Hg 0.5000 0.5000 0.3750  8 Nd 3.32
Hg 0.5000 0.5000 0.6250  8 Nd 3.32
Hg 0.5000 0.5000 0.8746  4 Nd 3.32, 4 Ce 3.33

***

3.
A plane-wave DFT calculation with GGA-PBE was carried out for K3Pu3NiSe8 after structural relaxation.

- SG: C2/m
- Formation energy (no corrections): -1.147 eV/atom
- D(E_F): 26.9 states/eV/f.u.
- Calculated total energy: -6.477 eV per atom

a b c (Å): 8.2332 8.2332 9.1180
angles (deg): 116.79 116.79 60.01
Closest atoms and distances in Å follow each position.
Fractional coordinates of all 15 atoms:
K 0.0000 0.0000 0.0000  6 Se 3.30-3.35
K 0.0000 0.5000 0.0000  6 Se 3.30-3.36
K 0.5000 0.0000 0.0000  6 Se 3.30-3.36
Pu 0.0000 0.5000 0.5000  6 Se 2.86-2.87
Pu 0.5000 0.0000 0.5000  6 Se 2.86-2.87
Pu 0.5000 0.5000 0.5000  6 Se 2.86-2.87
Ni 0.0000 0.0000 0.5000  6 Se 2.61
Se 0.2140 0.2140 0.6840  1 Ni 2.61, 2 Pu 2.87
Se 0.2145 0.7552 0.6844  1 Ni 2.61, 2 Pu 2.86
Se 0.2448 0.7855 0.3156  1 Ni 2.61, 2 Pu 2.86
Se 0.2646 0.2646 0.2934  3 Pu 2.87
Se 0.7354 0.7354 0.7066  3 Pu 2.87
Se 0.7552 0.2145 0.6844  1 Ni 2.61, 2 Pu 2.86
Se 0.7855 0.2448 0.3156  1 Ni 2.61, 2 Pu 2.86
Se 0.7860 0.7860 0.3160  1 Ni 2.61, 2 Pu 2.87

***

4.
A plane-wave DFT calculation with GGA-PBE was carried out for AgPRhS2 after structural relaxation.

- SG: P4/mmm
- Formation energy (no corrections): 1.353 eV/atom
- D(E_F): 7.3 states/eV/f.u.
- Calculated total energy: -3.421 eV per atom

a b c (Å): 4.7726 4.7726 4.6942
angles (deg): 90.00 90.00 90.00
Closest atoms and distances in Å follow each position.
Fractional coordinates of all 5 atoms:
Ag 0.0000 0.0000 0.0000  2 P 2.35, 4 S 2.39
P 0.0000 0.0000 0.5000  2 Ag 2.35
Rh 0.5000 0.5000 0.5000  8 S 3.35, 4 P 3.37
S 0.0000 0.5000 0.0000  2 Ag 2.39
S 0.5000 0.0000 0.0000  2 Ag 2.39

***

5.
A plane-wave DFT calculation with GGA-PBE was carried out for Sc2ZnSb after structural relaxation.

- SG: Fm-3m
- Formation energy (no corrections): -0.456 eV/atom
- D(E_F): 5.9 states/eV/f.u.
- Calculated total energy: -4.970 eV per atom

a b c (Å): 4.9183 4.9183 4.9183
angles (deg): 60.00 60.00 60.00
Closest atoms and distances in Å follow each position.
Fractional coordinates of all 4 atoms:
Sc 0.2500 0.2500 0.2500  4 Sb 3.01, 4 Zn 3.01
Sc 0.7500 0.7500 0.7500  4 Sb 3.01, 4 Zn 3.01
Zn 0.0000 0.0000 0.0000  8 Sc 3.01
Sb 0.5000 0.5000 0.5000  8 Sc 3.01

***

6.
A plane-wave DFT calculation with GGA-PBE was carried out for AcBiRuO6 after structural relaxation.

- SG: P-31c
- Formation energy (no corrections): -1.557 eV/atom
- D(E_F): 4.1 states/eV/f.u.
- Calculated total energy: -6.781 eV per atom

a b c (Å): 5.9209 5.9209 8.8179
angles (deg): 90.00 90.00 120.00
Closest atoms and distances in Å follow each position.
Fractional coordinates of all 18 atoms:
Ac 0.3333 0.6667 0.2500  6 O 2.48
Ac 0.6667 0.3333 0.7500  6 O 2.48
Bi 0.0000 0.0000 0.0000  6 O 2.39
Bi 0.0000 0.0000 0.5000  6 O 2.39
Ru 0.3333 0.6667 0.7500  6 O 1.96
Ru 0.6667 0.3333 0.2500  6 O 1.96
O 0.0663 0.3852 0.6262  1 Ru 1.96
O 0.0663 0.6811 0.8738  1 Ru 1.96
O 0.3189 0.3852 0.8738  1 Ru 1.96
O 0.3189 0.9337 0.6262  1 Ru 1.96
O 0.3852 0.0663 0.1262  1 Ru 1.96
O 0.3852 0.3189 0.3738  1 Ru 1.96
O 0.6148 0.6811 0.6262  1 Ru 1.96
O 0.6148 0.9337 0.8738  1 Ru 1.96
O 0.6811 0.0663 0.3738  1 Ru 1.96
O 0.6811 0.6148 0.1262  1 Ru 1.96
O 0.9337 0.3189 0.1262  1 Ru 1.96
O 0.9337 0.6148 0.3738  1 Ru 1.96

***

7.
A plane-wave DFT calculation with GGA-PBE was carried out for Pm5ErGa6 after structural relaxation.

- SG: P2/m
- D(E_F): 4.9 states/eV/f.u.
- Calculated total energy: -4.442 eV per atom
- DFT formation energy: -0.5685 eV per atom

a b c (Å): 5.1542 7.2894 8.1539
angles (deg): 90.00 108.32 90.00
Closest atoms and distances in Å follow each position.
Fractional coordinates of all 12 atoms:
Pm 0.0000 0.0000 0.0000  8 Ga 3.14-3.17
Pm 0.3308 0.0000 0.6614  8 Ga 3.18-3.21
Pm 0.3344 0.5000 0.6685  8 Ga 3.13-3.19
Pm 0.6656 0.5000 0.3315  8 Ga 3.13-3.19
Pm 0.6692 0.0000 0.3386  8 Ga 3.18-3.21
Er 0.0000 0.5000 0.0000  8 Ga 3.10-3.14
Ga 0.1634 0.2552 0.3273  1 Er 3.10, 7 Pm 3.13-3.19
Ga 0.1634 0.7448 0.3273  1 Er 3.10, 7 Pm 3.13-3.19
Ga 0.5000 0.2537 0.0000  6 Pm 3.13-3.21, 2 Er 3.14
Ga 0.5000 0.7463 0.0000  6 Pm 3.13-3.21, 2 Er 3.14
Ga 0.8366 0.2552 0.6727  1 Er 3.10, 7 Pm 3.13-3.19
Ga 0.8366 0.7448 0.6727  1 Er 3.10, 7 Pm 3.13-3.19

***

8.
A plane-wave DFT calculation with GGA-PBE was carried out for Tb2Zn16Ga after structural relaxation.

- SG: R3m
- D(E_F): 4.9 states/eV/f.u.
- Calculated total energy: -1.955 eV per atom
- DFT formation energy: -0.2357 eV per atom

a b c (Å): 6.7991 6.7991 6.7991
angles (deg): 83.06 83.06 83.06
Closest atoms and distances in Å follow each position.
Fractional coordinates of all 19 atoms:
Tb 0.0000 0.0000 0.0000  1 Ga 3.07, 15 Zn 3.15-3.43
Tb 0.3321 0.3321 0.3321  19 Zn 3.11-3.44
Zn 0.0186 0.0186 0.4993  8 Zn 2.54-2.74
Zn 0.0186 0.4993 0.0186  8 Zn 2.54-2.74
Zn 0.1715 0.6629 0.6629  9 Zn 2.59-2.72, 1 Ga 2.79
Zn 0.3154 0.3154 0.8303  8 Zn 2.54-2.73
Zn 0.3154 0.8302 0.3154  8 Zn 2.54-2.73
Zn 0.3637 0.6661 0.9679  8 Zn 2.59-2.74
Zn 0.3637 0.9679 0.6661  8 Zn 2.59-2.74
Zn 0.4993 0.0186 0.0186  8 Zn 2.54-2.74
Zn 0.5690 0.5690 0.5690  1 Ga 2.59, 6 Zn 2.72-2.89
Zn 0.6629 0.1715 0.6629  9 Zn 2.59-2.72, 1 Ga 2.79
Zn 0.6629 0.6629 0.1715  9 Zn 2.59-2.72, 1 Ga 2.79
Zn 0.6661 0.3637 0.9679  8 Zn 2.59-2.74
Zn 0.6661 0.9679 0.3637  8 Zn 2.59-2.74
Zn 0.8303 0.3154 0.3154  8 Zn 2.54-2.73
Zn 0.9679 0.3637 0.6661  8 Zn 2.59-2.74
Zn 0.9679 0.6661 0.3637  8 Zn 2.59-2.74
Ga 0.7663 0.7663 0.7663  7 Zn 2.59-2.90

***

Q: Look up the D(E_F) of the fourth one.
A: 7.3 states/eV/f.u.

***

Q: Look up the calculated total energy of the sixth one.
A: -6.781 eV per atom

***

Q: Look up the D(E_F) of the fourth one.
A: 7.3 states/eV/f.u.

***

Q: The highest D(E_F) belongs to which entry?
A: K3Pu3NiSe8